Run A
A plane-wave DFT calculation with PBE-GGA was carried out for an optimized crystal structure of HfZrSc3.

ρ, g/cm³: 5.7

abc: 7.622 7.622 10.958
angles: 113.70 113.70 24.11
Atoms (fractional coordinates):
Hf 0.024 0.024 0.151
Hf 0.976 0.976 0.849
Zr 0.072 0.072 0.450
Zr 0.928 0.928 0.550
Sc 0.288 0.288 0.646
Sc 0.335 0.335 0.953
Sc 0.379 0.379 0.266
Sc 0.621 0.621 0.734
Sc 0.665 0.665 0.047
Sc 0.712 0.712 0.354

---

Run B
A plane-wave DFT calculation with PBE-GGA was carried out for an optimized crystal structure of HfZrSc3.

ρ, g/cm³: 5.2

abc: 5.057 5.057 5.057
angles: 90.00 90.00 90.00
Atoms (fractional coordinates):
Hf 0.000 0.000 0.000
Zr 0.500 0.500 0.500
Sc 0.000 0.500 0.500
Sc 0.500 0.000 0.500
Sc 0.500 0.500 0.000

---

Run C
A plane-wave DFT calculation with PBE-GGA was carried out for an optimized crystal structure of HfZrSc3.

ρ, g/cm³: 5.6

abc: 5.841 5.841 8.092
angles: 108.83 108.83 96.04
Atoms (fractional coordinates):
Hf 0.165 0.835 0.000
Hf 0.835 0.165 0.000
Zr 0.281 0.281 0.876
Zr 0.719 0.719 0.124
Sc 0.158 0.158 0.405
Sc 0.278 0.628 0.288
Sc 0.372 0.722 0.712
Sc 0.628 0.278 0.288
Sc 0.722 0.372 0.712
Sc 0.842 0.842 0.595

---

Q: What are the energies relative to the best structure? A: run A 0.000; run B 0.866; run C 0.083, in eV/atom.

---

Run A
A plane-wave DFT calculation with PBE-GGA was carried out for an optimized crystal structure of Hf2ZrSc.

ρ, g/cm³: 8.9

abc: 3.213 3.213 30.842
angles: 90.00 90.00 120.00
Atoms (fractional coordinates):
Hf 0.000 0.000 0.000
Hf 0.000 0.000 0.168
Hf 0.333 0.667 0.667
Hf 0.333 0.667 0.835
Hf 0.667 0.333 0.333
Hf 0.667 0.333 0.502
Zr 0.000 0.000 0.584
Zr 0.333 0.667 0.251
Zr 0.667 0.333 0.917
Sc 0.000 0.000 0.417
Sc 0.333 0.667 0.084
Sc 0.667 0.333 0.751

---

Run B
A plane-wave DFT calculation with PBE-GGA was carried out for an optimized crystal structure of Hf2ZrSc.

ρ, g/cm³: 9.1

abc: 7.127 7.127 7.127
angles: 90.00 90.00 90.00
Atoms (fractional coordinates):
Hf 0.250 0.250 0.250
Hf 0.250 0.250 0.750
Hf 0.250 0.750 0.250
Hf 0.250 0.750 0.750
Hf 0.750 0.250 0.250
Hf 0.750 0.250 0.750
Hf 0.750 0.750 0.250
Hf 0.750 0.750 0.750
Zr 0.000 0.000 0.000
Zr 0.000 0.500 0.500
Zr 0.500 0.000 0.500
Zr 0.500 0.500 0.000
Sc 0.000 0.000 0.500
Sc 0.000 0.500 0.000
Sc 0.500 0.000 0.000
Sc 0.500 0.500 0.500

---

Q: What are the energies relative to the best structure? A: run A 0.000; run B 0.130, in eV/atom.

---

Run A
A plane-wave DFT calculation with PBE-GGA was carried out for an optimized crystal structure of Hf2ZrSc4.

ρ, g/cm³: 6.3

abc: 21.183 3.197 5.001
angles: 90.00 103.42 90.00
Atoms (fractional coordinates):
Hf 0.068 0.000 0.068
Hf 0.432 0.500 0.932
Hf 0.568 0.500 0.068
Hf 0.932 0.000 0.932
Zr 0.000 0.500 0.500
Zr 0.500 0.000 0.500
Sc 0.140 0.000 0.639
Sc 0.205 0.500 0.202
Sc 0.295 0.000 0.798
Sc 0.360 0.500 0.361
Sc 0.640 0.500 0.639
Sc 0.705 0.000 0.202
Sc 0.795 0.500 0.798
Sc 0.860 0.000 0.361

---

Run B
A plane-wave DFT calculation with PBE-GGA was carried out for an optimized crystal structure of Hf2ZrSc4.

ρ, g/cm³: 6.3

abc: 5.419 5.419 15.043
angles: 90.00 90.00 131.51
Atoms (fractional coordinates):
Hf 0.199 0.801 0.559
Hf 0.199 0.801 0.941
Hf 0.801 0.199 0.059
Hf 0.801 0.199 0.441
Zr 0.444 0.556 0.250
Zr 0.556 0.444 0.750
Sc 0.104 0.896 0.137
Sc 0.104 0.896 0.363
Sc 0.253 0.747 0.750
Sc 0.500 0.500 0.000
Sc 0.500 0.500 0.500
Sc 0.747 0.253 0.250
Sc 0.896 0.104 0.637
Sc 0.896 0.104 0.863

---

Q: What are the energies relative to the best structure? A: run A 0.000; run B 0.168, in eV/atom.

---

Run A
A plane-wave DFT calculation with PBE-GGA was carried out for an optimized crystal structure of Hf3ZrSc.

ρ, g/cm³: 8.3

abc: 5.128 5.128 5.128
angles: 90.00 90.00 90.00
Atoms (fractional coordinates):
Hf 0.000 0.000 0.500
Hf 0.000 0.500 0.000
Hf 0.500 0.000 0.000
Zr 0.000 0.000 0.000
Sc 0.500 0.500 0.500

---

Run B
A plane-wave DFT calculation with PBE-GGA was carried out for an optimized crystal structure of Hf3ZrSc.

ρ, g/cm³: 7.8

abc: 5.768 5.768 14.903
angles: 90.00 90.00 120.00
Atoms (fractional coordinates):
Hf 0.007 0.504 0.000
Hf 0.163 0.326 0.333
Hf 0.163 0.837 0.333
Hf 0.341 0.170 0.667
Hf 0.496 0.504 0.000
Hf 0.496 0.993 0.000
Hf 0.674 0.837 0.333
Hf 0.830 0.170 0.667
Hf 0.830 0.659 0.667
Zr 0.000 0.000 0.119
Zr 0.333 0.667 0.786
Zr 0.667 0.333 0.452
Sc 0.000 0.000 0.495
Sc 0.333 0.667 0.161
Sc 0.667 0.333 0.828

---

Q: What are the energies relative to the best structure? A: run A 0.043; run B 0.000, in eV/atom.

---

Run A
A plane-wave DFT calculation with PBE-GGA was carried out for an optimized crystal structure of Hf4ZrSc.

ρ, g/cm³: 10.3

abc: 9.011 9.011 5.493
angles: 90.92 90.92 141.97
Atoms (fractional coordinates):
Hf 0.126 0.374 0.648
Hf 0.188 0.292 0.135
Hf 0.292 0.188 0.635
Hf 0.374 0.126 0.148
Hf 0.626 0.874 0.852
Hf 0.708 0.812 0.365
Hf 0.812 0.708 0.865
Hf 0.874 0.626 0.352
Zr 0.211 0.789 0.750
Zr 0.789 0.211 0.250
Sc 0.287 0.713 0.250
Sc 0.713 0.287 0.750

---

Run B
A plane-wave DFT calculation with PBE-GGA was carried out for an optimized crystal structure of Hf4ZrSc.

ρ, g/cm³: 10.3

abc: 5.528 6.341 7.783
angles: 90.00 90.31 90.00
Atoms (fractional coordinates):
Hf 0.003 0.250 0.003
Hf 0.162 0.502 0.665
Hf 0.162 0.998 0.665
Hf 0.328 0.250 0.337
Hf 0.672 0.750 0.663
Hf 0.838 0.002 0.335
Hf 0.838 0.498 0.335
Hf 0.997 0.750 0.997
Zr 0.330 0.750 0.338
Zr 0.670 0.250 0.662
Sc 0.500 0.000 0.000
Sc 0.500 0.500 0.000

---

Q: What are the energies relative to the best structure? A: run A 0.122; run B 0.000, in eV/atom.